[1]
A plane-wave DFT calculation with PBE was carried out for a geometry-optimized Mg3Al structure.

abc: 4.3847 4.3847 4.3847
angles: 90.00 90.00 90.00
With the nearest neighbours (Å) after each atom.
Fractional coordinates of all 4 atoms:
Mg: 0.5000 0.5000 0.0000  8 Mg 3.10, 4 Al 3.10
Mg: 0.5000 0.0000 0.5000  8 Mg 3.10, 4 Al 3.10
Mg: 0.0000 0.5000 0.5000  8 Mg 3.10, 4 Al 3.10
Al: 0.0000 0.0000 0.0000  12 Mg 3.10

Computed properties:
**SG**: Pm-3m, No. 221
**DFT formation energy**: 0.01 eV/f.u.
**Spin magnetization**: 0.0 μB/f.u.
**Uncorrected energy**: -2.13 eV per atom
**Calculated volume**: 21.1 A^3/atom


[2]
A plane-wave DFT calculation with PBE was carried out for a geometry-optimized MgAl structure.

abc: 3.0625 3.0625 4.8028
angles: 90.00 90.00 120.00
With the nearest neighbours (Å) after each atom.
Fractional coordinates of all 2 atoms:
Mg: 0.0000 0.0000 0.5000  6 Al 2.98, 6 Mg 3.06
Al: 0.3333 0.6667 0.0000  6 Mg 2.98, 6 Al 3.06

Computed properties:
**SG**: P-6m2, No. 187
**DFT formation energy**: 0.06 eV/f.u.
**Spin magnetization**: 0.0 μB/f.u.
**Uncorrected energy**: -2.64 eV per atom
**Calculated volume**: 19.5 A^3/atom


[3]
A plane-wave DFT calculation with PBE was carried out for a geometry-optimized Mg5Al2 structure.

abc: 4.3571 5.3917 6.8513
angles: 96.93 90.00 113.83
With the nearest neighbours (Å) after each atom.
Fractional coordinates of all 7 atoms:
Mg: 0.3599 0.7198 0.0703  5 Al 3.01-3.09, 7 Mg 3.04-3.13
Mg: 0.6401 0.2802 0.9297  5 Al 3.01-3.09, 7 Mg 3.04-3.13
Mg: 0.2144 0.4288 0.6430  8 Mg 3.07-3.10, 4 Al 3.10-3.15
Mg: 0.5000 0.0000 0.5000  8 Mg 3.08-3.10, 4 Al 3.12
Mg: 0.7856 0.5712 0.3570  8 Mg 3.07-3.10, 4 Al 3.10-3.15
Al: 0.0737 0.1474 0.2054  1 Al 2.99, 11 Mg 3.01-3.15
Al: 0.9263 0.8526 0.7946  1 Al 2.99, 11 Mg 3.01-3.15

Computed properties:
**SG**: C2/m, No. 12
**DFT formation energy**: 0.13 eV/f.u.
**Spin magnetization**: 0.0 μB/f.u.
**Uncorrected energy**: -2.19 eV per atom
**Calculated volume**: 20.8 A^3/atom


[4]
A plane-wave DFT calculation with PBE was carried out for a geometry-optimized MgAl structure.

abc: 4.5553 4.5553 4.5553
angles: 60.00 60.00 60.00
With the nearest neighbours (Å) after each atom.
Fractional coordinates of all 2 atoms:
Mg: 0.7500 0.7500 0.7500  4 Al 2.79
Al: 0.0000 0.0000 0.0000  4 Mg 2.79

Computed properties:
**SG**: F-43m, No. 216
**DFT formation energy**: 1.77 eV/f.u.
**Spin magnetization**: 0.0 μB/f.u.
**Uncorrected energy**: -1.78 eV per atom
**Calculated volume**: 33.4 A^3/atom


[5]
A plane-wave DFT calculation with PBE was carried out for a geometry-optimized Mg4Al structure.

abc: 3.1825 4.3216 8.2473
angles: 104.94 79.00 90.09
With the nearest neighbours (Å) after each atom.
Fractional coordinates of all 5 atoms:
Mg: 0.5957 0.4058 0.8110  8 Mg 2.95-3.25, 4 Al 3.06-3.07
Mg: 0.4043 0.5942 0.1890  8 Mg 2.95-3.25, 4 Al 3.06-3.07
Mg: 0.1986 0.8029 0.6050  1 Al 3.09, 11 Mg 3.12-3.25
Mg: 0.8014 0.1971 0.3950  1 Al 3.09, 11 Mg 3.12-3.25
Al: 0.0000 0.0000 0.0000  10 Mg 3.06-3.09, 2 Al 3.18

Computed properties:
**E above lowest polymorph**: 0.0 meV/atom
**SG**: P-1, No. 2
**DFT formation energy**: 0.03 eV/f.u.
**Spin magnetization**: 0.0 μB/f.u.
**Uncorrected energy**: -2.02 eV per atom
**Calculated volume**: 21.5 A^3/atom


[6]
A plane-wave DFT calculation with PBE was carried out for a geometry-optimized MgAl2 structure.

abc: 5.4221 5.4221 5.4221
angles: 60.00 60.00 60.00
With the nearest neighbours (Å) after each atom.
Fractional coordinates of all 6 atoms:
Mg: 0.0000 0.0000 0.0000  12 Al 3.18, 4 Mg 3.32
Mg: 0.2500 0.2500 0.2500  12 Al 3.18, 4 Mg 3.32
Al: 0.1250 0.6250 0.6250  6 Al 2.71
Al: 0.6250 0.1250 0.6250  6 Al 2.71
Al: 0.6250 0.6250 0.6250  6 Al 2.71
Al: 0.6250 0.6250 0.1250  6 Al 2.71

Computed properties:
**SG**: Fd-3m, No. 227
**DFT formation energy**: -0.07 eV/f.u.
**Spin magnetization**: 0.0 μB/f.u.
**Uncorrected energy**: -3.05 eV per atom
**Calculated volume**: 18.8 A^3/atom


[7]
A plane-wave DFT calculation with PBE was carried out for a geometry-optimized MgAl2 structure.

abc: 12.9115 12.9115 12.9115
angles: 161.34 161.34 26.51
With the nearest neighbours (Å) after each atom.
Fractional coordinates of all 12 atoms:
Mg: 0.8319 0.3319 0.5000  10 Al 2.93-3.01, 2 Mg 3.01
Mg: 0.9181 0.9181 0.0000  10 Al 2.93-3.01, 2 Mg 3.01
Mg: 0.6681 0.1681 0.5000  10 Al 2.93-3.01, 2 Mg 3.01
Mg: 0.0819 0.0819 0.0000  10 Al 2.93-3.01, 2 Mg 3.01
Al: 0.9997 0.4997 0.5000  8 Al 2.93-2.96, 4 Mg 2.93-2.94
Al: 0.7503 0.7503 0.0000  8 Al 2.93-2.96, 4 Mg 2.93-2.94
Al: 0.5003 0.0003 0.5000  8 Al 2.93-2.96, 4 Mg 2.93-2.94
Al: 0.2497 0.2497 0.0000  8 Al 2.93-2.96, 4 Mg 2.93-2.94
Al: 0.1682 0.6682 0.5000  6 Al 2.93-3.02, 6 Mg 2.96-3.01
Al: 0.5818 0.5818 0.0000  6 Al 2.93-3.02, 6 Mg 2.96-3.01
Al: 0.3318 0.8318 0.5000  6 Al 2.93-3.02, 6 Mg 2.96-3.01
Al: 0.4182 0.4182 0.0000  6 Al 2.93-3.02, 6 Mg 2.96-3.01

Computed properties:
**SG**: I4_1/amd, No. 141
**DFT formation energy**: 0.04 eV/f.u.
**Spin magnetization**: 0.0 μB/f.u.
**Uncorrected energy**: -3.01 eV per atom
**Calculated volume**: 18.4 A^3/atom


[8]
A plane-wave DFT calculation with PBE was carried out for a geometry-optimized Mg3Al structure.

abc: 4.9007 4.9007 4.9007
angles: 60.00 60.00 60.00
With the nearest neighbours (Å) after each atom.
Fractional coordinates of all 4 atoms:
Mg: 0.0000 0.0000 0.0000  8 Mg 3.00
Mg: 0.2500 0.2500 0.2500  4 Mg 3.00, 4 Al 3.00
Mg: 0.7500 0.7500 0.7500  4 Mg 3.00, 4 Al 3.00
Al: 0.5000 0.5000 0.5000  8 Mg 3.00

Computed properties:
**SG**: Fm-3m, No. 225
**DFT formation energy**: 0.15 eV/f.u.
**Spin magnetization**: 0.0 μB/f.u.
**Uncorrected energy**: -2.09 eV per atom
**Calculated volume**: 20.8 A^3/atom


Which value of spin magnetization does entry 6 give? 0.0 μB/f.u.


Which of these has the lowest uncorrected energy? number 6


What is the formula in the fourth record? MgAl